This record from Alexandria describes an optimized crystal structure of SrNi2S. The functional is GGA-PBE.

Lattice parameters (Å, degrees): 3.953 4.087 16.618 90.00 90.00 90.00
Atoms (fractional coordinates):
Sr1 0.000 0.500 0.542
Sr2 0.500 0.000 0.255
Sr3 0.500 0.500 0.755
Sr4 0.000 0.000 0.042
Ni1 0.500 0.000 0.483
Ni2 0.500 0.500 0.983
Ni3 0.000 0.500 0.188
Ni4 0.500 0.000 0.895
Ni5 0.500 0.500 0.395
Ni6 0.000 0.500 0.894
Ni7 0.000 0.000 0.688
Ni8 0.000 0.000 0.394
S1 0.500 0.500 0.120
S2 0.000 0.500 0.326
S3 0.500 0.000 0.620
S4 0.000 0.000 0.826

Properties
* total DFT energy (no corrections): -4.972 eV/atom
* magnetic moment: 0.000 μB/cell
* crystal system: orthorhombic
* DOS(E_F): 0.7407 states/eV per atom
* formation energy from raw total energies: -0.6287 eV/atom